No. 1
Entry from Alexandria via LeMat-Bulk: a relaxed structure of Re2TcRu5 (GGA-PBE).

Cell: 7.672 7.693 7.727 Å, 90.00 90.00 90.00°
Space group Fmmm (No. 69)
Asymmetric unit:
Re (0.250, 0.000, 0.250) x8
Tc (0.000, 0.000, 0.000) x4
Ru (0.000, 0.000, 0.500) x4
Ru (0.000, 0.250, 0.250) x8
Ru (0.250, 0.250, 0.000) x8

Output
Magnetic moment: 0.00 μB per atom
Calculated volume: 456 Å³/cell
Energy of formation from the pure elements: 0.04 eV per atom

No. 2
Entry from Alexandria via LeMat-Bulk: a relaxed structure of ReTc2Ru (GGA-PBE).

Cell: 2.7373 2.7373 26.8968 Å, 90.00 90.00 120.00°
Space group R3m (No. 160, hexagonal axes)
Asymmetric unit:
Re (0.0000, 0.0000, 0.0000) x3
Tc (0.0000, 0.0000, 0.2484) x3
Tc (0.0000, 0.0000, 0.4999) x3
Ru (0.0000, 0.0000, 0.7487) x3

Output
Energy relative to the lowest polymorph listed for this composition: 89.4 meV/atom
Magnetic moment: 0.00 μB per atom
Calculated volume: 175 Å³/cell
Energy of formation from the pure elements: 0.05 eV per atom

No. 3
Entry from Alexandria via LeMat-Bulk: a relaxed structure of ReTcRu2 (GGA-PBE).

Cell: 2.758 4.350 4.765 Å, 90.00 90.00 90.00°
Space group Pmm2 (No. 25)
Asymmetric unit:
Re (0.000, 0.000, 0.000) x1
Tc (0.000, 0.500, 0.331) x1
Ru (0.500, 0.000, 0.492) x1
Ru (0.500, 0.500, 0.835) x1

Output
Energy relative to the lowest polymorph listed for this composition: 0.0 meV/atom
Magnetic moment: 0.00 μB per atom
Calculated volume: 57 Å³/cell
Energy of formation from the pure elements: -0.08 eV per atom

No. 4
Entry from Alexandria via LeMat-Bulk: a relaxed structure of Re2Tc5Ru (GGA-PBE).

Cell: 5.492 5.492 7.770 Å, 90.00 90.00 90.00°
Space group I4mm (No. 107)
Asymmetric unit:
Re (0.000, 0.500, 0.000) x4
Tc (0.000, 0.000, 0.000) x2
Tc (0.249, 0.249, 0.750) x8
Ru (0.000, 0.000, 0.501) x2

Output
Magnetic moment: 0.00 μB per atom
Calculated volume: 234 Å³/cell
Energy of formation from the pure elements: 0.06 eV per atom

No. 5
Entry from Alexandria via LeMat-Bulk: a relaxed structure of ReTc8Ru6 (GGA-PBE).

Cell: 7.6733 7.6733 13.3853 Å, 90.00 90.00 120.00°
Space group R-3 (No. 148, hexagonal axes)
Asymmetric unit:
Re (0.0000, 0.0000, 0.0000) x3
Tc (0.0000, 0.0000, 0.2391) x6
Tc (0.0366, 0.6178, 0.5679) x18
Ru (0.0338, 0.8176, 0.4090) x18

Output
Magnetic moment: 0.00 μB per atom
Calculated volume: 683 Å³/cell
Energy of formation from the pure elements: 0.33 eV per atom

No. 6
Entry from Alexandria via LeMat-Bulk: a relaxed structure of Re2TcRu4 (GGA-PBE).

Cell: 2.7470 2.7470 45.8577 Å, 90.00 90.00 120.00°
Space group R3m (No. 160, hexagonal axes)
Asymmetric unit:
Re (0.0000, 0.0000, 0.0000) x3
Re (0.0000, 0.0000, 0.0961) x3
Tc (0.0000, 0.0000, 0.1917) x3
Ru (0.0000, 0.0000, 0.2863) x3
Ru (0.0000, 0.0000, 0.3808) x3
Ru (0.0000, 0.0000, 0.8111) x3
Ru (0.0000, 0.0000, 0.9051) x3

Output
Magnetic moment: 0.00 μB per atom
Calculated volume: 300 Å³/cell
Energy of formation from the pure elements: -0.04 eV per atom

No. 7
Entry from Alexandria via LeMat-Bulk: a relaxed structure of Re3TcRu2 (GGA-PBE).

Cell: 2.740 7.253 9.522 Å, 70.96 89.92 79.12°
Space group P-1 (No. 2)
Asymmetric unit:
Re (0.083, 0.333, 0.124) x2
Re (0.415, 0.671, 0.122) x2
Re (0.416, 0.670, 0.622) x2
Tc (0.082, 0.335, 0.623) x2
Ru (0.249, 0.000, 0.378) x2
Ru (0.250, 0.999, 0.878) x2

Output
Magnetic moment: 0.00 μB per atom
Calculated volume: 175 Å³/cell
Energy of formation from the pure elements: 0.07 eV per atom

No. 8
Entry from Alexandria via LeMat-Bulk: a relaxed structure of Re3Tc4Ru2 (GGA-PBE).

Cell: 12.820 9.098 4.671 Å, 90.00 98.16 90.00°
Space group C2/c (No. 15)
Asymmetric unit:
Re (0.000, 0.151, 0.250) x4
Re (0.173, 0.389, 0.062) x8
Tc (0.058, 0.377, 0.552) x8
Tc (0.218, 0.144, 0.346) x8
Ru (0.108, 0.098, 0.813) x8

Output
Energy relative to the lowest polymorph listed for this composition: 42.6 meV/atom
Magnetic moment: 0.00 μB per atom
Calculated volume: 539 Å³/cell
Energy of formation from the pure elements: 0.20 eV per atom

No. 9
Entry from Alexandria via LeMat-Bulk: a relaxed structure of Re2TcRu (GGA-PBE).

Cell: 9.108 2.744 4.761 Å, 90.00 100.17 90.00°
Space group C2/m (No. 12)
Asymmetric unit:
Re (0.248, 0.000, 0.248) x4
Tc (0.000, 0.000, 0.500) x2
Ru (0.000, 0.500, 0.000) x2

Output
Energy relative to the lowest polymorph listed for this composition: 9.6 meV/atom
Magnetic moment: 0.00 μB per atom
Calculated volume: 117 Å³/cell
Energy of formation from the pure elements: 0.05 eV per atom

No. 10
Entry from Alexandria via LeMat-Bulk: a relaxed structure of ReTcRu2 (GGA-PBE).

Cell: 5.460 7.724 2.719 Å, 90.00 90.00 90.00°
Space group Cmmm (No. 65)
Asymmetric unit:
Re (0.000, 0.000, 0.000) x2
Tc (0.000, 0.500, 0.000) x2
Ru (0.250, 0.250, 0.500) x4

Output
Energy relative to the lowest polymorph listed for this composition: 97.3 meV/atom
Magnetic moment: 0.00 μB per atom
Calculated volume: 115 Å³/cell
Energy of formation from the pure elements: 0.02 eV per atom

No. 11
Entry from Alexandria via LeMat-Bulk: a relaxed structure of ReTc2Ru (GGA-PBE).

Cell: 2.733 3.868 5.499 Å, 90.00 90.00 90.00°
Space group Pmm2 (No. 25)
Asymmetric unit:
Re (0.000, 0.000, 0.000) x1
Tc (0.000, 0.000, 0.496) x1
Tc (0.500, 0.500, 0.744) x1
Ru (0.500, 0.500, 0.246) x1

Output
Energy relative to the lowest polymorph listed for this composition: 94.1 meV/atom
Magnetic moment: 0.00 μB per atom
Calculated volume: 58 Å³/cell
Energy of formation from the pure elements: 0.06 eV per atom

No. 12
Entry from Alexandria via LeMat-Bulk: a relaxed structure of Re2TcRu (GGA-PBE).

Cell: 3.219 3.219 5.782 Å, 90.00 90.00 90.00°
Space group P4mm (No. 99)
Asymmetric unit:
Re (0.000, 0.000, 0.000) x1
Re (0.500, 0.500, 0.280) x1
Tc (0.500, 0.500, 0.754) x1
Ru (0.000, 0.000, 0.477) x1

Output
Energy relative to the lowest polymorph listed for this composition: 298.1 meV/atom
Magnetic moment: 0.10 μB per atom
Calculated volume: 60 Å³/cell
Energy of formation from the pure elements: 0.33 eV per atom